## PrNdCd6 (PBE)

Data for PrNdCd6 after structural relaxation.

Computed properties:
**SG**: Pmm2, No. 25
**Energy relative to the lowest polymorph listed for this composition**: 0.00 eV/f.u.

The structure in POSCAR format:
```
PrNdCd6
1.0
5.1830 0.0000 0.0000
0.0000 7.2949 0.0000
0.0000 0.0000 5.1840
Cd Nd Pr
6 1 1
direct
0.0000 0.2496 0.2449
0.0000 0.7504 0.2449
0.5000 0.0000 0.2540
0.0000 0.5000 0.7460
0.5000 0.2497 0.7551
0.5000 0.7503 0.7551
0.0000 0.0000 0.7454
0.5000 0.5000 0.2546
```

***

## CuBr (PBE)

Data for CuBr after structural relaxation.

Computed properties:
**SG**: F-43m, No. 216
**Total DFT energy (no corrections)**: -2.938 eV per atom

The structure in POSCAR format:
```
CuBr
1.0
2.8616 -2.8616 0.0000
-2.8616 0.0000 -2.8616
2.8616 2.8616 0.0000
Br Cu
1 1
direct
0.7500 0.5000 0.2500
0.0000 0.0000 0.0000
```

***

## CoCuGeTe3 (PBE)

Data for CoCuGeTe3 after structural relaxation.

Computed properties:
**SG**: Cmcm, No. 63
**Total DFT energy (no corrections)**: -4.044 eV per atom

The structure in POSCAR format:
```
CoCuGeTe3
1.0
1.9579 -6.4377 0.0000
1.9579 6.4377 0.0000
0.0000 0.0000 10.3625
Co Cu Ge Te
2 2 2 6
direct
0.0000 0.0000 0.0000
0.0000 0.0000 0.5000
0.4536 0.5464 0.2500
0.5464 0.4536 0.7500
0.7742 0.2258 0.2500
0.2258 0.7742 0.7500
0.3665 0.6335 0.0297
0.0872 0.9128 0.2500
0.3665 0.6335 0.4703
0.6335 0.3665 0.5297
0.9128 0.0872 0.7500
0.6335 0.3665 0.9703
```

***

## NbFeAgBi (PBE)

Data for NbFeAgBi after structural relaxation.

Computed properties:
**SG**: F-43m, No. 216
**Energy relative to the lowest polymorph listed for this composition**: 0.02 eV/f.u.

The structure in POSCAR format:
```
NbFeAgBi
1.0
0.0000 3.3101 3.3101
3.3101 0.0000 3.3101
3.3101 3.3101 0.0000
Ag Bi Fe Nb
1 1 1 1
direct
0.2500 0.2500 0.2500
0.0000 0.0000 0.0000
0.7500 0.7500 0.7500
0.5000 0.5000 0.5000
```